Entry from the Alexandria database: a relaxed Li2PaCoO6 crystal (GGA+U).

Cell and atoms, written as extended XYZ:
```
10
Lattice="-3.5278 3.7503 0.8302 -0.5660 -3.3825 -4.0150 0.0662 -4.2193 3.5225" Properties=species:S:1:pos:R:3 pbc="T T T"
Li -2.3663 -1.9235 -1.5296
Li -2.0932 -2.3163 2.3355
Pa -3.7447 0.0457 0.5330
Co -3.9631 -3.7399 0.2374
O -2.2902 -4.0310 -0.6417
O -1.6789 0.5544 0.5944
O -3.4412 -0.1538 -1.7357
O -0.5239 -1.6306 -0.6957
O -3.2769 -1.9943 0.6971
O -0.4165 -3.3390 1.8430
```

Summary:
* DOS(E_F): 0.31 states/eV per cell
* symmetry: P1 (1)
* calculated total energy: -6.772 eV per atom